No. 1
This record from Alexandria describes crystalline GaAg2Bi2 at its relaxed geometry. The functional is PBE-GGA.

**ΔE_f**: 0.1676 eV/atom
**M_tot**: 0.000 μB per cell
**E above lowest polymorph**: 0.0277 eV/atom
**N(E_F)**: 0.2473 states/eV/atom

The structure in CIF format:
```
data_GaAg2Bi2
_chemical_formula_sum 'Ga2 Ag4 Bi4'
_space_group_name_H-M_alt 'P 4/m b m'
_space_group_IT_number 127
_space_group_name_Hall '-P 4 2ab'
_cell_length_a 8.756
_cell_length_b 8.756
_cell_length_c 3.317
_cell_angle_alpha 90.00
_cell_angle_beta 90.00
_cell_angle_gamma 90.00
loop_
_atom_site_label
_atom_site_type_symbol
_atom_site_fract_x
_atom_site_fract_y
_atom_site_fract_z
Ga1 Ga 0.000 0.000 0.000
Ag1 Ag 0.126 0.374 0.000
Bi1 Bi 0.170 0.670 0.500
```

***

No. 2
This record from Alexandria describes crystalline Ga2Ag6Bi at its relaxed geometry. The functional is PBE-GGA.

**ΔE_f**: 0.0981 eV/atom
**M_tot**: 0.000 μB per cell
**N(E_F)**: 0.2935 states/eV/atom

The structure in CIF format:
```
data_Ga2Ag6Bi
_chemical_formula_sum 'Ga4 Ag12 Bi2'
_space_group_name_H-M_alt 'C 1 2/m 1'
_space_group_IT_number 12
_cell_length_a 13.713
_cell_length_b 8.267
_cell_length_c 3.193
_cell_angle_alpha 90.00
_cell_angle_beta 92.96
_cell_angle_gamma 90.00
loop_
_space_group_symop_operation_xyz
'x,y,z'
'-x,-y,-z'
'-x,y,-z'
'x,-y,z'
'x+1/2,y+1/2,z'
'-x+1/2,-y+1/2,-z'
'-x+1/2,y+1/2,-z'
'x+1/2,-y+1/2,z'
loop_
_atom_site_label
_atom_site_type_symbol
_atom_site_fract_x
_atom_site_fract_y
_atom_site_fract_z
Ga1 Ga 0.152 0.000 0.018
Ag1 Ag 0.000 0.166 0.500
Ag2 Ag 0.179 0.327 0.734
Bi1 Bi 0.000 0.500 0.000
```

***

No. 3
This record from Alexandria describes crystalline Ga2AgBi2 at its relaxed geometry. The functional is PBE-GGA.

**ΔE_f**: 0.1463 eV/atom
**M_tot**: 0.000 μB per cell
**E above lowest polymorph**: 0.0271 eV/atom
**N(E_F)**: 0.6224 states/eV/atom

The structure in CIF format:
```
data_Ga2AgBi2
_chemical_formula_sum 'Ga4 Ag2 Bi4'
_space_group_name_H-M_alt 'I 4/m m m'
_space_group_IT_number 139
_space_group_name_Hall '-I 4 2'
_cell_length_a 3.665
_cell_length_b 3.665
_cell_length_c 18.606
_cell_angle_alpha 90.00
_cell_angle_beta 90.00
_cell_angle_gamma 90.00
loop_
_atom_site_label
_atom_site_type_symbol
_atom_site_fract_x
_atom_site_fract_y
_atom_site_fract_z
Ga1 Ga 0.000 0.500 0.250
Ag1 Ag 0.000 0.000 0.000
Bi1 Bi 0.000 0.000 0.401
```

***

No. 4
This record from Alexandria describes crystalline Ga2AgBi2 at its relaxed geometry. The functional is PBE-GGA.

**ΔE_f**: 0.1192 eV/atom
**M_tot**: 0.000 μB per cell
**E above lowest polymorph**: 0.0000 eV/atom
**N(E_F)**: 0.4819 states/eV/atom

The structure in CIF format:
```
data_Ga2AgBi2
_chemical_formula_sum 'Ga4 Ag2 Bi4'
_space_group_name_H-M_alt 'P 4/m b m'
_space_group_IT_number 127
_space_group_name_Hall '-P 4 2ab'
_cell_length_a 7.045
_cell_length_b 7.045
_cell_length_c 4.902
_cell_angle_alpha 90.00
_cell_angle_beta 90.00
_cell_angle_gamma 90.00
loop_
_atom_site_label
_atom_site_type_symbol
_atom_site_fract_x
_atom_site_fract_y
_atom_site_fract_z
Ga1 Ga 0.129 0.371 0.000
Ag1 Ag 0.000 0.000 0.000
Bi1 Bi 0.199 0.699 0.500
```

***

No. 5
This record from Alexandria describes crystalline Ga2AgBi2 at its relaxed geometry. The functional is PBE-GGA.

**ΔE_f**: 0.1920 eV/atom
**M_tot**: 0.000 μB per cell
**E above lowest polymorph**: 0.0728 eV/atom
**N(E_F)**: 0.3227 states/eV/atom

The structure in CIF format:
```
data_Ga2AgBi2
_chemical_formula_sum 'Ga4 Ag2 Bi4'
_space_group_name_H-M_alt 'P 4/m b m'
_space_group_IT_number 127
_space_group_name_Hall '-P 4 2ab'
_cell_length_a 8.732
_cell_length_b 8.732
_cell_length_c 3.446
_cell_angle_alpha 90.00
_cell_angle_beta 90.00
_cell_angle_gamma 90.00
loop_
_atom_site_label
_atom_site_type_symbol
_atom_site_fract_x
_atom_site_fract_y
_atom_site_fract_z
Ga1 Ga 0.111 0.389 0.000
Ag1 Ag 0.000 0.000 0.500
Bi1 Bi 0.189 0.689 0.500
```

***

No. 6
This record from Alexandria describes crystalline GaAgBi2 at its relaxed geometry. The functional is PBE-GGA.

**ΔE_f**: 0.1422 eV/atom
**M_tot**: 0.000 μB per cell
**N(E_F)**: 0.5405 states/eV/atom

The structure in CIF format:
```
data_GaAgBi2
_chemical_formula_sum 'Ga1 Ag1 Bi2'
_space_group_name_H-M_alt 'P 4/m m m'
_space_group_IT_number 123
_space_group_name_Hall '-P 4 2'
_cell_length_a 5.061
_cell_length_b 5.061
_cell_length_c 3.970
_cell_angle_alpha 90.00
_cell_angle_beta 90.00
_cell_angle_gamma 90.00
loop_
_atom_site_label
_atom_site_type_symbol
_atom_site_fract_x
_atom_site_fract_y
_atom_site_fract_z
Ga1 Ga 0.000 0.000 0.000
Ag1 Ag 0.500 0.500 0.000
Bi1 Bi 0.000 0.500 0.500
```

***

No. 7
This record from Alexandria describes crystalline GaAgBi2 at its relaxed geometry. The functional is PBE-GGA.

**ΔE_f**: 0.2096 eV/atom
**M_tot**: 0.000 μB per cell
**N(E_F)**: 0.4513 states/eV/atom

The structure in CIF format:
```
data_GaAgBi2
_chemical_formula_sum 'Ga3 Ag3 Bi6'
_space_group_name_H-M_alt 'R -3 m'
_space_group_IT_number 166
_space_group_name_Hall '-R 3 2"'
_cell_length_a 3.4189
_cell_length_b 3.4189
_cell_length_c 32.7628
_cell_angle_alpha 90.00
_cell_angle_beta 90.00
_cell_angle_gamma 120.00
loop_
_atom_site_label
_atom_site_type_symbol
_atom_site_fract_x
_atom_site_fract_y
_atom_site_fract_z
Ga1 Ga 0.0000 0.0000 0.0000
Ag1 Ag 0.0000 0.0000 0.5000
Bi1 Bi 0.0000 0.0000 0.4128
```

***

No. 8
This record from Alexandria describes crystalline GaAgBi3 at its relaxed geometry. The functional is PBE-GGA.

**ΔE_f**: 0.6477 eV/atom
**M_tot**: 0.000 μB per cell
**E above lowest polymorph**: 0.0940 eV/atom
**N(E_F)**: 0.8778 states/eV/atom

The structure in CIF format:
```
data_GaAgBi3
_chemical_formula_sum 'Ga1 Ag1 Bi3'
_space_group_name_H-M_alt 'P m -3 m'
_space_group_IT_number 221
_space_group_name_Hall '-P 4 2 3'
_cell_length_a 5.489
_cell_length_b 5.489
_cell_length_c 5.489
_cell_angle_alpha 90.00
_cell_angle_beta 90.00
_cell_angle_gamma 90.00
loop_
_atom_site_label
_atom_site_type_symbol
_atom_site_fract_x
_atom_site_fract_y
_atom_site_fract_z
Ga1 Ga 0.000 0.000 0.000
Ag1 Ag 0.500 0.500 0.500
Bi1 Bi 0.000 0.000 0.500
```